Model one:
# BeWBr2

A crystal of BeWBr2 relaxed with PBEsol (SCAN, the Alexandria database).

Computed properties:
Space-group type   Fm-3m (225)

Lattice parameters (Å, degrees): 6.304 6.304 6.304 90.00 90.00 90.00
Element x y z (fractional)
Be1 0.000 0.000 0.000
Be2 0.000 0.500 0.500
Be3 0.500 0.000 0.500
Be4 0.500 0.500 0.000
W1 0.000 0.000 0.500
W2 0.000 0.500 0.000
W3 0.500 0.000 0.000
W4 0.500 0.500 0.500
Br1 0.250 0.250 0.250
Br2 0.250 0.250 0.750
Br3 0.250 0.750 0.250
Br4 0.250 0.750 0.750
Br5 0.750 0.250 0.250
Br6 0.750 0.250 0.750
Br7 0.750 0.750 0.250
Br8 0.750 0.750 0.750

=====

Model two:
# BeWBr2

A crystal of BeWBr2 relaxed with PBEsol (SCAN, the Alexandria database).

Computed properties:
Space-group type   P4/mmm (123)

Lattice parameters (Å, degrees): 4.619 4.619 3.004 90.00 90.00 90.00
Element x y z (fractional)
Be1 0.000 0.000 0.000
W1 0.500 0.500 0.000
Br1 0.000 0.500 0.500
Br2 0.500 0.000 0.500

=====

Stability ranking, top entry: model one; the second entry is 113 meV per atom less favorable.

=====

Model one:
# Y2BeBr

A crystal of Y2BeBr relaxed with PBEsol (SCAN, the Alexandria database).

Computed properties:
Space-group type   Fm-3m (225)

Lattice parameters (Å, degrees): 7.036 7.036 7.036 90.00 90.00 90.00
Element x y z (fractional)
Y1 0.250 0.250 0.250
Y2 0.250 0.250 0.750
Y3 0.250 0.750 0.250
Y4 0.250 0.750 0.750
Y5 0.750 0.250 0.250
Y6 0.750 0.250 0.750
Y7 0.750 0.750 0.250
Y8 0.750 0.750 0.750
Be1 0.000 0.000 0.000
Be2 0.000 0.500 0.500
Be3 0.500 0.000 0.500
Be4 0.500 0.500 0.000
Br1 0.000 0.000 0.500
Br2 0.000 0.500 0.000
Br3 0.500 0.000 0.000
Br4 0.500 0.500 0.500

=====

Model two:
# Y2BeBr

A crystal of Y2BeBr relaxed with PBEsol (SCAN, the Alexandria database).

Computed properties:
Space-group type   P4mm (99)

Lattice parameters (Å, degrees): 3.461 3.461 8.785 90.00 90.00 90.00
Element x y z (fractional)
Y1 0.000 0.000 0.000
Y2 0.500 0.500 0.301
Be1 0.000 0.000 0.467
Br1 0.500 0.500 0.805

=====

Stability ranking, top entry: model one; the second entry is 11 meV per atom less favorable.

=====

Model one:
# BeZn2Br

A crystal of BeZn2Br relaxed with PBEsol (SCAN, the Alexandria database).

Computed properties:
Space-group type   Pmmm (47)

Lattice parameters (Å, degrees): 3.357 3.647 5.797 90.00 90.00 90.00
Element x y z (fractional)
Be1 0.000 0.000 0.000
Zn1 0.000 0.500 0.500
Zn2 0.500 0.000 0.500
Br1 0.500 0.500 0.000

=====

Model two:
# BeZn2Br

A crystal of BeZn2Br relaxed with PBEsol (SCAN, the Alexandria database).

Computed properties:
Space-group type   R-3m (166)

Lattice parameters (Å, degrees): 3.271 3.271 21.470 90.00 90.00 120.00
Element x y z (fractional)
Be1 0.000 0.000 0.000
Be2 0.333 0.667 0.667
Be3 0.667 0.333 0.333
Zn1 0.000 0.000 0.262
Zn2 0.000 0.000 0.738
Zn3 0.333 0.667 0.405
Zn4 0.333 0.667 0.928
Zn5 0.667 0.333 0.072
Zn6 0.667 0.333 0.595
Br1 0.000 0.000 0.500
Br2 0.333 0.667 0.167
Br3 0.667 0.333 0.833

=====

Model three:
# BeZn2Br

A crystal of BeZn2Br relaxed with PBEsol (SCAN, the Alexandria database).

Computed properties:
Space-group type   P4mm (99)

Lattice parameters (Å, degrees): 3.060 3.060 7.308 90.00 90.00 90.00
Element x y z (fractional)
Be1 0.000 0.000 0.000
Zn1 0.000 0.000 0.583
Zn2 0.500 0.500 0.786
Br1 0.500 0.500 0.186

=====

Model four:
# BeZn2Br

A crystal of BeZn2Br relaxed with PBEsol (SCAN, the Alexandria database).

Computed properties:
Space-group type   Pmmm (47)

Lattice parameters (Å, degrees): 2.617 3.328 7.733 90.00 90.00 90.00
Element x y z (fractional)
Be1 0.000 0.000 0.000
Zn1 0.500 0.500 0.173
Zn2 0.500 0.500 0.827
Br1 0.000 0.000 0.500

=====

Stability ranking, top entry: model two; the second entry is 70 meV per atom less favorable.

=====

Model one:
# ZrBeBr2

A crystal of ZrBeBr2 relaxed with PBEsol (SCAN, the Alexandria database).

Computed properties:
Space-group type   C2/m (12)

Lattice parameters (Å, degrees): 14.376 3.287 4.179 90.00 97.77 90.00
Element x y z (fractional)
Zr1 0.000 0.000 0.000
Zr2 0.500 0.500 0.000
Be1 0.000 0.500 0.500
Be2 0.500 0.000 0.500
Br1 0.148 0.500 0.191
Br2 0.352 0.000 0.809
Br3 0.648 0.000 0.191
Br4 0.852 0.500 0.809

=====

Model two:
# ZrBeBr2

A crystal of ZrBeBr2 relaxed with PBEsol (SCAN, the Alexandria database).

Computed properties:
Space-group type   Pmmm (47)

Lattice parameters (Å, degrees): 3.301 4.310 5.466 90.00 90.00 90.00
Element x y z (fractional)
Zr1 0.000 0.000 0.000
Be1 0.500 0.000 0.500
Br1 0.000 0.500 0.500
Br2 0.500 0.500 0.000

=====

Model three:
# ZrBeBr2

A crystal of ZrBeBr2 relaxed with PBEsol (SCAN, the Alexandria database).

Computed properties:
Space-group type   Cm (8)

Lattice parameters (Å, degrees): 9.222 3.325 6.800 90.00 104.39 90.00
Element x y z (fractional)
Zr1 0.000 0.000 0.000
Zr2 0.500 0.500 0.000
Be1 0.287 0.000 0.062
Be2 0.787 0.500 0.062
Br1 0.200 0.500 0.263
Br2 0.497 0.000 0.695
Br3 0.700 0.000 0.263
Br4 0.997 0.500 0.695

=====

Stability ranking, top entry: model one; the second entry is 93 meV per atom less favorable.

=====

Model one:
# BeC3

A crystal of BeC3 relaxed with PBEsol (SCAN, the Alexandria database).

Computed properties:
Space-group type   Immm (71)

Lattice parameters (Å, degrees): 2.503 3.119 7.823 90.00 90.00 90.00
Element x y z (fractional)
Be1 0.000 0.000 0.000
Be2 0.500 0.500 0.500
C1 0.000 0.000 0.500
C2 0.000 0.500 0.131
C3 0.000 0.500 0.869
C4 0.500 0.000 0.369
C5 0.500 0.000 0.631
C6 0.500 0.500 0.000

=====

Model two:
# BeC3

A crystal of BeC3 relaxed with PBEsol (SCAN, the Alexandria database).

Computed properties:
Space-group type   P4/mmm (123)

Lattice parameters (Å, degrees): 2.715 2.715 3.936 90.00 90.00 90.00
Element x y z (fractional)
Be1 0.000 0.000 0.000
C1 0.000 0.000 0.500
C2 0.500 0.500 0.326
C3 0.500 0.500 0.674

=====

Model three:
# BeC3

A crystal of BeC3 relaxed with PBEsol (SCAN, the Alexandria database).

Computed properties:
Space-group type   P6_3/mmc (194)

Lattice parameters (Å, degrees): 4.463 4.463 5.053 90.00 90.00 120.00
Element x y z (fractional)
Be1 0.333 0.667 0.250
Be2 0.667 0.333 0.750
C1 0.123 0.562 0.750
C2 0.438 0.562 0.750
C3 0.438 0.877 0.750
C4 0.562 0.123 0.250
C5 0.562 0.438 0.250
C6 0.877 0.438 0.250

=====

Model four:
# BeC3

A crystal of BeC3 relaxed with PBEsol (SCAN, the Alexandria database).

Computed properties:
Space-group type   Cmmm (65)

Lattice parameters (Å, degrees): 2.277 6.874 5.022 90.00 90.00 90.00
Element x y z (fractional)
Be1 0.000 0.000 0.000
Be2 0.500 0.500 0.000
C1 0.000 0.000 0.500
C2 0.000 0.500 0.301
C3 0.000 0.500 0.699
C4 0.500 0.000 0.301
C5 0.500 0.000 0.699
C6 0.500 0.500 0.500

=====

Stability ranking, top entry: model three; the second entry is 851 meV per atom less favorable.

=====

Model one:
# Ca3Be

A crystal of Ca3Be relaxed with PBEsol (SCAN, the Alexandria database).

Computed properties:
Space-group type   P4/mmm (123)

Lattice parameters (Å, degrees): 3.625 3.625 9.210 90.00 90.00 90.00
Element x y z (fractional)
Ca1 0.000 0.000 0.000
Ca2 0.500 0.500 0.320
Ca3 0.500 0.500 0.680
Be1 0.000 0.000 0.500

=====

Model two:
# Ca3Be

A crystal of Ca3Be relaxed with PBEsol (SCAN, the Alexandria database).

Computed properties:
Space-group type   P4mm (99)

Lattice parameters (Å, degrees): 4.938 4.938 4.883 90.00 90.00 90.00
Element x y z (fractional)
Ca1 0.000 0.000 0.000
Ca2 0.000 0.500 0.499
Ca3 0.500 0.000 0.499
Be1 0.500 0.500 0.006

=====

Stability ranking, top entry: model one; the second entry is 179 meV per atom less favorable.